! CuTeCl2 (PBE, relaxed); values from VASP
&SYSTEM
  ibrav = 0, nat = 4, ntyp = 3
/
ATOMIC_SPECIES
Cu 63.55 Cu.upf
Te 127.60 Te.upf
Cl 35.45 Cl.upf
CELL_PARAMETERS angstrom
3.0614 0.0000 0.0000
0.0000 3.0614 0.0000
0.0000 0.0000 10.7205
ATOMIC_POSITIONS crystal
Cu 0.0000 0.0000 0.0000
Te 0.0000 0.0000 0.5000
Cl 0.5000 0.5000 0.1432
Cl 0.5000 0.5000 0.8568
! - Total magnetic moment: 0.77 μB/f.u.
! - Polymorph energy (0 for the lowest one): 352 meV/atom
! - Calculated volume: 25.119 A^3/atom
! - Symmetry: P4/mmm, No. 123
! - Formation energy from raw total energies: 0.03 eV per atom